# 1
A relaxed ZrSiIN2 crystal, computed with PBE.

Cell lengths 3.8656, 3.8656, 5.2165 Å; angles 90.00, 90.00, 90.00 degrees
With the nearest neighbours (Å) after each atom.
Fractional positions:
N1 0.0000 0.5000 0.0000  2 Si 1.93
N2 0.5000 0.0000 0.0000  2 Si 1.93
I1 0.0000 0.0000 0.5000  2 Si 2.61, 4 Zr 2.73
Zr1 0.5000 0.5000 0.5000  4 I 2.73
Si1 0.0000 0.0000 0.0000  4 N 1.93

Summary:
total energy	-27.682	eV for the cell shown
relative energy among the computed polymorphs	17.2	kJ per mole of atoms
space group	P4/mmm, No. 123
total magnetic moment	0.00	Bohr magnetons per cell



# 2
A relaxed ZrSiI2N crystal, computed with PBE.

Cell lengths 5.7586, 5.7586, 3.4031 Å; angles 90.00, 90.00, 90.00 degrees
With the nearest neighbours (Å) after each atom.
Fractional positions:
N1 0.0000 0.0000 0.5000  2 Si 1.70
I1 0.5000 0.0000 0.0000  2 Si 2.88
I2 0.0000 0.5000 0.0000  2 Si 2.88
Zr1 0.5000 0.5000 0.5000  8 I 3.34, 2 Zr 3.40
Si1 0.0000 0.0000 0.0000  2 N 1.70

Summary:
total energy	-23.590	eV for the cell shown
relative energy among the computed polymorphs	8.3	kJ per mole of atoms
space group	P4/mmm, No. 123
total magnetic moment	1.82	Bohr magnetons per cell



# 3
A relaxed Sm2IN crystal, computed with PBE.

Cell lengths 3.7591, 3.7591, 7.8387 Å; angles 76.13, 76.13, 60.00 degrees
With the nearest neighbours (Å) after each atom.
Fractional positions:
N1 0.6681 0.6681 0.9958  6 Sm 2.50-2.54
Sm1 0.2761 0.2761 0.1717  3 N 2.54
Sm2 0.0564 0.0564 0.8308  3 N 2.50
I1 0.4994 0.4994 0.5017  6 Sm 3.29-3.30

Summary:
total energy	-24.129	eV for the cell shown
space group	R3m, No. 160
total magnetic moment	0.00	Bohr magnetons per cell